[1]
KLaAu | PBE | relaxed

Cell and atoms, written as extended XYZ:
```
3
Lattice="0.000 3.756 3.756 3.756 0.000 3.756 3.756 3.756 0.000" Properties=species:S:1:pos:R:3 pbc="T T T"
Au 0.000 0.000 0.000
K 1.878 1.878 1.878
La 5.634 5.634 5.634
```

SG: F-43m, No. 216
E_tot, Ha/atom: -0.1172



[2]
KLaTe3Au | PBE | relaxed

Cell and atoms, written as extended XYZ:
```
12
Lattice="2.220 -8.277 0.000 2.220 8.277 0.000 0.000 0.000 11.694" Properties=species:S:1:pos:R:3 pbc="T T T"
Au 2.220 -0.425 2.923
Au 2.220 0.425 8.770
K 2.220 4.228 2.923
K 2.220 -4.228 8.770
La 0.000 0.000 0.000
La 0.000 0.000 5.847
Te 2.220 -2.208 0.792
Te 2.220 -6.937 2.923
Te 2.220 -2.208 5.055
Te 2.220 2.208 6.639
Te 2.220 6.937 8.770
Te 2.220 2.208 10.902
```

SG: Cmcm, No. 63
E_tot, Ha/atom: -0.1502



[3]
KLi2Au2 | PBE | relaxed

Cell and atoms, written as extended XYZ:
```
5
Lattice="0.713 4.396 -0.054 -4.395 0.712 -0.121 1.697 -2.460 5.856" Properties=species:S:1:pos:R:3 pbc="T T T"
Au -1.876 2.578 1.323
Au -0.109 0.072 4.357
K 0.000 0.000 0.000
Li 0.285 2.246 2.857
Li -2.269 0.404 2.823
```

SG: I4/mmm, No. 139
E_tot, Ha/atom: -0.0983



[4]
K3LiAuO4 | PBE | relaxed

Cell and atoms, written as extended XYZ:
```
18
Lattice="5.421 -4.738 0.000 5.421 4.738 0.000 -1.491 0.000 5.702" Properties=species:S:1:pos:R:3 pbc="T T T"
Au 2.711 2.369 0.000
Au 1.965 -2.369 2.851
K 9.145 0.871 0.122
K 5.049 -0.904 1.426
K 0.952 0.871 2.729
K 8.399 -0.871 2.973
K 4.303 0.904 4.277
K 0.206 -0.871 5.580
Li 5.049 2.186 1.426
Li 4.303 -2.186 4.277
O 6.279 -3.094 0.190
O 6.758 1.279 1.274
O 3.339 1.279 1.577
O 3.818 -3.094 2.661
O 5.533 3.094 3.041
O 6.012 -1.279 4.125
O 2.594 -1.279 4.429
O 3.072 3.094 5.512
```

SG: C2/c, No. 15
E_tot, Ha/atom: -0.1559



Repeat the fourth record exactly.
K3LiAuO4 | PBE | relaxed

Cell and atoms, written as extended XYZ:
```
18
Lattice="5.421 -4.738 0.000 5.421 4.738 0.000 -1.491 0.000 5.702" Properties=species:S:1:pos:R:3 pbc="T T T"
Au 2.711 2.369 0.000
Au 1.965 -2.369 2.851
K 9.145 0.871 0.122
K 5.049 -0.904 1.426
K 0.952 0.871 2.729
K 8.399 -0.871 2.973
K 4.303 0.904 4.277
K 0.206 -0.871 5.580
Li 5.049 2.186 1.426
Li 4.303 -2.186 4.277
O 6.279 -3.094 0.190
O 6.758 1.279 1.274
O 3.339 1.279 1.577
O 3.818 -3.094 2.661
O 5.533 3.094 3.041
O 6.012 -1.279 4.125
O 2.594 -1.279 4.429
O 3.072 3.094 5.512
```

SG: C2/c, No. 15
E_tot, Ha/atom: -0.1559



Please write out number 2 again, unchanged.
KLaTe3Au | PBE | relaxed

Cell and atoms, written as extended XYZ:
```
12
Lattice="2.220 -8.277 0.000 2.220 8.277 0.000 0.000 0.000 11.694" Properties=species:S:1:pos:R:3 pbc="T T T"
Au 2.220 -0.425 2.923
Au 2.220 0.425 8.770
K 2.220 4.228 2.923
K 2.220 -4.228 8.770
La 0.000 0.000 0.000
La 0.000 0.000 5.847
Te 2.220 -2.208 0.792
Te 2.220 -6.937 2.923
Te 2.220 -2.208 5.055
Te 2.220 2.208 6.639
Te 2.220 6.937 8.770
Te 2.220 2.208 10.902
```

SG: Cmcm, No. 63
E_tot, Ha/atom: -0.1502